[1]
# Ca2Al5Ag4 PBE-GGA relaxed
# energy relative to the lowest polymorph listed for this composition: 0.03 eV/f.u.
# energy of formation: -0.224 eV/atom
data_Ca2Al5Ag4
_cell_length_a 5.4379
_cell_length_b 8.9135
_cell_length_c 9.3951
_cell_angle_alpha 90.00
_cell_angle_beta 90.00
_cell_angle_gamma 90.00
_symmetry_space_group_name_H-M 'I m m m'
_symmetry_Int_Tables_number 71
_symmetry_space_group_name_Hall '-I 2 2'
loop_
_atom_site_label
_atom_site_fract_x
_atom_site_fract_y
_atom_site_fract_z
_atom_site_occupancy
Ca1 0.0000 0.2353 0.0000 1
Al1 0.0000 0.5000 0.5000 1
Al2 0.2485 0.5000 0.2324 1
Ag1 0.0000 0.2498 0.3322 1

[2]
# Ca3Al6Ag5 PBE-GGA relaxed
# energy of formation: -0.276 eV/atom
data_Ca3Al6Ag5
_cell_length_a 4.4112
_cell_length_b 13.0569
_cell_length_c 9.9318
_cell_angle_alpha 90.00
_cell_angle_beta 90.00
_cell_angle_gamma 90.00
_symmetry_space_group_name_H-M 'P m m n'
_symmetry_Int_Tables_number 59
loop_
_symmetry_equiv_pos_as_xyz
'x,y,z'
'-x,-y,-z'
'-x+1/2,-y+1/2,z'
'x+1/2,y+1/2,-z'
'x+1/2,-y,-z'
'-x+1/2,y,z'
'-x,y+1/2,-z'
'x,-y+1/2,z'
loop_
_atom_site_label
_atom_site_fract_x
_atom_site_fract_y
_atom_site_fract_z
_atom_site_occupancy
Ca1 0.2500 0.0559 0.2436 1
Ca2 0.2500 0.7500 0.2584 1
Al1 0.2500 0.0690 0.5835 1
Al2 0.2500 0.2500 0.0295 1
Al3 0.2500 0.2500 0.4348 1
Al4 0.2500 0.6011 0.9863 1
Ag1 0.2500 0.0907 0.8596 1
Ag2 0.2500 0.6351 0.5395 1
Ag3 0.2500 0.7500 0.7947 1

[3]
# CaAl2Ag3 PBE-GGA relaxed
# energy of formation: -0.229 eV/atom
data_CaAl2Ag3
_cell_length_a 10.2959
_cell_length_b 8.8728
_cell_length_c 5.4840
_cell_angle_alpha 90.00
_cell_angle_beta 90.00
_cell_angle_gamma 90.00
_symmetry_space_group_name_H-M 'C m c m'
_symmetry_Int_Tables_number 63
_symmetry_space_group_name_Hall '-C 2c 2'
loop_
_atom_site_label
_atom_site_fract_x
_atom_site_fract_y
_atom_site_fract_z
_atom_site_occupancy
Ca1 0.0000 0.1793 0.2500 1
Al1 0.2239 0.5000 0.0000 1
Ag1 0.0000 0.4557 0.7500 1
Ag2 0.1883 0.2282 0.7500 1

[4]
# CaAl2Ag PBE-GGA relaxed
# energy of formation: 0.039 eV/atom
data_CaAl2Ag
_cell_length_a 4.7745
_cell_length_b 4.7745
_cell_length_c 18.3524
_cell_angle_alpha 90.00
_cell_angle_beta 90.00
_cell_angle_gamma 90.00
_symmetry_space_group_name_H-M 'I -4 2 d'
_symmetry_Int_Tables_number 122
_symmetry_space_group_name_Hall 'I -4 2bw'
loop_
_atom_site_label
_atom_site_fract_x
_atom_site_fract_y
_atom_site_fract_z
_atom_site_occupancy
Ca1 0.0000 0.0000 0.0000 1
Al1 0.0867 0.2500 0.6250 1
Ag1 0.0000 0.0000 0.5000 1

[5]
# Ca8Al2Ag PBE-GGA relaxed
# energy of formation: -0.095 eV/atom
data_Ca8Al2Ag
_cell_length_a 5.3078
_cell_length_b 8.9825
_cell_length_c 14.6849
_cell_angle_alpha 90.00
_cell_angle_beta 90.00
_cell_angle_gamma 90.00
_symmetry_space_group_name_H-M 'I m m m'
_symmetry_Int_Tables_number 71
_symmetry_space_group_name_Hall '-I 2 2'
loop_
_atom_site_label
_atom_site_fract_x
_atom_site_fract_y
_atom_site_fract_z
_atom_site_occupancy
Ca1 0.0000 0.0000 0.1342 1
Ca2 0.0000 0.2140 0.3411 1
Ca3 0.0000 0.3232 0.0000 1
Al1 0.0000 0.5000 0.1957 1
Ag1 0.0000 0.5000 0.5000 1

[6]
# CaAl2Ag PBE-GGA relaxed
# energy of formation: -0.107 eV/atom
data_CaAl2Ag
_cell_length_a 4.2447
_cell_length_b 4.2447
_cell_length_c 4.6039
_cell_angle_alpha 90.00
_cell_angle_beta 90.00
_cell_angle_gamma 90.00
_symmetry_space_group_name_H-M 'P 4/m m m'
_symmetry_Int_Tables_number 123
_symmetry_space_group_name_Hall '-P 4 2'
loop_
_atom_site_label
_atom_site_fract_x
_atom_site_fract_y
_atom_site_fract_z
_atom_site_occupancy
Ca1 0.0000 0.0000 0.0000 1
Al1 0.0000 0.5000 0.5000 1
Ag1 0.5000 0.5000 0.0000 1

[7]
# Ca2Al5Ag5 PBE-GGA relaxed
# energy of formation: -0.262 eV/atom
data_Ca2Al5Ag5
_cell_length_a 4.4686
_cell_length_b 5.4867
_cell_length_c 9.6891
_cell_angle_alpha 90.00
_cell_angle_beta 90.00
_cell_angle_gamma 90.00
_symmetry_space_group_name_H-M 'P m m m'
_symmetry_Int_Tables_number 47
loop_
_symmetry_equiv_pos_as_xyz
'x,y,z'
'-x,-y,-z'
'-x,-y,z'
'x,y,-z'
'x,-y,-z'
'-x,y,z'
'-x,y,-z'
'x,-y,z'
loop_
_atom_site_label
_atom_site_fract_x
_atom_site_fract_y
_atom_site_fract_z
_atom_site_occupancy
Ca1 0.0000 0.0000 0.0000 1
Ca2 0.0000 0.5000 0.5000 1
Al1 0.5000 0.0000 0.5000 1
Al2 0.5000 0.2484 0.2475 1
Ag1 0.0000 0.0000 0.3339 1
Ag2 0.0000 0.5000 0.1808 1
Ag3 0.5000 0.5000 0.0000 1

[8]
# Ca12AlAg6 PBE-GGA relaxed
# energy of formation: -0.209 eV/atom
data_Ca12AlAg6
_cell_length_a 10.5067
_cell_length_b 10.5067
_cell_length_c 10.5067
_cell_angle_alpha 90.00
_cell_angle_beta 90.00
_cell_angle_gamma 90.00
_symmetry_space_group_name_H-M 'I m -3'
_symmetry_Int_Tables_number 204
_symmetry_space_group_name_Hall '-I 2 2 3'
loop_
_atom_site_label
_atom_site_fract_x
_atom_site_fract_y
_atom_site_fract_z
_atom_site_occupancy
Ca1 0.0000 0.2879 0.1809 1
Al1 0.0000 0.0000 0.0000 1
Ag1 0.0000 0.1320 0.5000 1

[9]
# CaAl3Ag PBE-GGA relaxed
# energy of formation: 1.296 eV/atom
data_CaAl3Ag
_cell_length_a 5.5604
_cell_length_b 5.5604
_cell_length_c 5.5604
_cell_angle_alpha 90.00
_cell_angle_beta 90.00
_cell_angle_gamma 90.00
_symmetry_space_group_name_H-M 'P m -3 m'
_symmetry_Int_Tables_number 221
_symmetry_space_group_name_Hall '-P 4 2 3'
loop_
_atom_site_label
_atom_site_fract_x
_atom_site_fract_y
_atom_site_fract_z
_atom_site_occupancy
Ca1 0.0000 0.0000 0.0000 1
Al1 0.0000 0.0000 0.5000 1
Ag1 0.5000 0.5000 0.5000 1

[10]
# CaAl6Ag12 PBE-GGA relaxed
# energy of formation: -0.012 eV/atom
data_CaAl6Ag12
_cell_length_a 11.8958
_cell_length_b 11.8958
_cell_length_c 8.9831
_cell_angle_alpha 90.00
_cell_angle_beta 90.00
_cell_angle_gamma 120.00
_symmetry_space_group_name_H-M 'R -3 m'
_symmetry_Int_Tables_number 166
_symmetry_space_group_name_Hall '-R 3 2"'
loop_
_atom_site_label
_atom_site_fract_x
_atom_site_fract_y
_atom_site_fract_z
_atom_site_occupancy
Ca1 0.0000 0.0000 0.0000 1
Al1 0.0600 0.5300 0.2446 1
Ag1 0.0000 0.3831 0.5000 1
Ag2 0.0839 0.1678 0.2967 1

[11]
# CaAl2Ag PBE-GGA relaxed
# energy of formation: -0.067 eV/atom
data_CaAl2Ag
_cell_length_a 9.9860
_cell_length_b 3.3746
_cell_length_c 5.4636
_cell_angle_alpha 90.00
_cell_angle_beta 110.03
_cell_angle_gamma 90.00
_symmetry_space_group_name_H-M 'C 1 2/m 1'
_symmetry_Int_Tables_number 12
loop_
_symmetry_equiv_pos_as_xyz
'x,y,z'
'-x,-y,-z'
'-x,y,-z'
'x,-y,z'
'x+1/2,y+1/2,z'
'-x+1/2,-y+1/2,-z'
'-x+1/2,y+1/2,-z'
'x+1/2,-y+1/2,z'
loop_
_atom_site_label
_atom_site_fract_x
_atom_site_fract_y
_atom_site_fract_z
_atom_site_occupancy
Ca1 0.0000 0.0000 0.0000 1
Al1 0.2243 0.0000 0.6902 1
Ag1 0.0000 0.5000 0.5000 1

[12]
# Ca4AlAg PBE-GGA relaxed
# energy relative to the lowest polymorph listed for this composition: 3.80 eV/f.u.
# energy of formation: 0.455 eV/atom
data_Ca4AlAg
_cell_length_a 9.2936
_cell_length_b 9.2936
_cell_length_c 9.2936
_cell_angle_alpha 90.00
_cell_angle_beta 90.00
_cell_angle_gamma 90.00
_symmetry_space_group_name_H-M 'F -4 3 m'
_symmetry_Int_Tables_number 216
_symmetry_space_group_name_Hall 'F -4 2 3'
loop_
_atom_site_label
_atom_site_fract_x
_atom_site_fract_y
_atom_site_fract_z
_atom_site_occupancy
Ca1 0.1254 0.1254 0.1254 1
Al1 0.0000 0.0000 0.5000 1
Ag1 0.2500 0.2500 0.7500 1

Please write out number 10 again, unchanged.
# CaAl6Ag12 PBE-GGA relaxed
# energy of formation: -0.012 eV/atom
data_CaAl6Ag12
_cell_length_a 11.8958
_cell_length_b 11.8958
_cell_length_c 8.9831
_cell_angle_alpha 90.00
_cell_angle_beta 90.00
_cell_angle_gamma 120.00
_symmetry_space_group_name_H-M 'R -3 m'
_symmetry_Int_Tables_number 166
_symmetry_space_group_name_Hall '-R 3 2"'
loop_
_atom_site_label
_atom_site_fract_x
_atom_site_fract_y
_atom_site_fract_z
_atom_site_occupancy
Ca1 0.0000 0.0000 0.0000 1
Al1 0.0600 0.5300 0.2446 1
Ag1 0.0000 0.3831 0.5000 1
Ag2 0.0839 0.1678 0.2967 1

Among the records above, which one has the highest energy of formation?
CaAl3Ag

energy of formation of number 4 (CaAl2Ag)?
0.039 eV/atom

What is the energy of formation in the eleventh record?
-0.067 eV/atom